No. 1
The following is a GGA-PBEsol calculation of an optimized crystal structure of ErLuMg2, from Alexandria via LeMat-Bulk.

```
4
Lattice="-4.6000 -2.2557 1.0584 -0.6790 -5.1073 -0.9069 -0.4168 -3.3357 4.0084" Properties=species:S:1:pos:R:3 pbc="T T T"
Mg -1.4240 -2.6747 1.0400
Mg -4.2719 -8.0240 3.1199
Lu 0.0000 0.0000 0.0000
Er -2.8479 -5.3493 2.0799
```

Computed properties:
final energy = -3.35 eV/atom
mass density = 6.41 g/cm³

No. 2
The following is a GGA-PBEsol calculation of an optimized crystal structure of AlReSi, from Alexandria via LeMat-Bulk.

```
3
Lattice="3.1671 0.0000 0.0000 0.0000 3.1671 0.0000 -1.5836 -1.5836 4.0107" Properties=species:S:1:pos:R:3 pbc="T T T"
Re 1.5837 1.5837 1.3955
Si 0.0001 0.0001 2.6160
Al 1.5839 1.5839 4.0098
```

Computed properties:
energy relative to the elements, uncorrected = -0.5253 eV/atom
final energy = -8.25 eV/atom
mass density = 9.96 g/cm³

- The highest final energy belongs to which entry?
  ErLuMg2

- The highest final energy belongs to which entry?
  ErLuMg2